Below is a geometry-optimized HfAlGaFe2 structure, with properties calculated at the PBE level.

Cell lengths 4.325, 4.325, 4.816 Å; angles 90.00, 90.00, 90.00 degrees
Space group P4/mmm (No. 123)
Inequivalent atoms, fractional coordinates:
Hf (0.000, 0.000, 0.000) x1
Al (0.500, 0.500, 0.000) x1
Ga (0.000, 0.000, 0.500) x1
Fe (0.000, 0.500, 0.500) x2

Results
total moment: 0.000 μB/atom
crystal system: tetragonal
density of states at the Fermi level: 9.064 states/eV/f.u.
energy relative to the elements: 0.9596 eV/atom